Entry 1:
LiAg2Cl, optimized geometry, DFT PBE; SG = No. 65; raw formation energy = -107 meV per atom; ΔE to the lowest computed polymorph = 0.464 eV per atom
1.0
1.7297 -2.6223 0.0000
1.7297 2.6223 0.0000
0.0000 0.0000 8.4114
Li Ag Cl
1 2 1
Direct
0.0000 0.0000 0.0000 Li
0.5000 0.5000 0.2508 Ag
0.5000 0.5000 0.7492 Ag
0.0000 0.0000 0.5000 Cl

Entry 2:
TlGaSe2N, optimized geometry, DFT PBE; SG = No. 123; raw formation energy = 1034 meV per atom; ΔE to the lowest computed polymorph = 0.576 eV per atom
1.0
5.5483 0.0000 0.0000
0.0000 5.5483 0.0000
0.0000 0.0000 4.4225
Tl Ga Se N
1 1 2 1
Direct
0.0000 0.0000 0.0000 Tl
0.5000 0.5000 0.5000 Ga
0.0000 0.5000 0.0000 Se
0.5000 0.0000 0.0000 Se
0.0000 0.0000 0.5000 N

Entry 3:
Si2TcPb, optimized geometry, DFT PBE; SG = No. 99; raw formation energy = 157 meV per atom
1.0
3.1902 0.0000 0.0000
0.0000 3.1902 0.0000
0.0000 0.0000 7.4640
Si Tc Pb
2 1 1
Direct
0.0000 0.0000 0.0000 Si
0.5000 0.5000 0.1910 Si
0.0000 0.0000 0.3275 Tc
0.5000 0.5000 0.6234 Pb

Entry 4:
ZrTlPt, optimized geometry, DFT PBE; SG = No. 156; ΔE_f = -0.31 eV/atom
1.0
3.6355 0.0000 0.0000
-1.8177 3.1484 0.0000
0.0000 0.0000 6.1829
Zr Tl Pt
1 1 1
Direct
0.0000 0.0000 0.0000 Zr
0.6667 0.3333 0.6031 Tl
0.3333 0.6667 0.2545 Pt

Entry 5:
Ce2PdS4, optimized geometry, DFT PBE; SG = No. 11; raw formation energy = -1487 meV per atom; ΔE to the lowest computed polymorph = 0.000 eV per atom
1.0
6.6709 0.0000 0.0000
0.0000 5.8020 0.0000
-2.3180 0.0000 7.5589
Ce Pd S
4 2 8
Direct
0.2427 0.2500 0.4360 Ce
0.2470 0.2500 0.9359 Ce
0.7530 0.7500 0.0641 Ce
0.7573 0.7500 0.5640 Ce
0.2603 0.7500 0.1861 Pd
0.7397 0.2500 0.8139 Pd
0.0575 0.7500 0.8840 S
0.0588 0.7500 0.3926 S
0.4679 0.5205 0.7404 S
0.4679 0.9795 0.7404 S
0.5321 0.0205 0.2596 S
0.5321 0.4795 0.2596 S
0.9412 0.2500 0.6074 S
0.9425 0.2500 0.1160 S

Entry 6:
Pm4IrAu3, optimized geometry, DFT PBE; SG = No. 25; ΔE_f = -0.80 eV/atom
1.0
3.8750 0.0000 0.0000
0.0000 4.7193 0.0000
0.0000 0.0000 11.0365
Pm Ir Au
4 1 3
Direct
0.0000 0.0000 0.0000 Pm
0.0000 0.5000 0.2591 Pm
0.5000 0.0000 0.4687 Pm
0.5000 0.5000 0.7620 Pm
0.5000 0.0000 0.2100 Ir
0.0000 0.0000 0.7099 Au
0.0000 0.5000 0.5374 Au
0.5000 0.5000 0.0370 Au